(1)
First-principles (GGA-PBE) data for an optimized crystal structure of TbPmSCl, as listed in Alexandria. Values from VASP.

```
&SYSTEM
  ibrav = 0, nat = 4, ntyp = 4
/
ATOMIC_SPECIES
Tb 158.93 Tb.upf
Pm 145.00 Pm.upf
S 32.06 S.upf
Cl 35.45 Cl.upf
CELL_PARAMETERS angstrom
-2.207 2.702 -1.592
-1.431 -3.495 0.676
-0.240 1.566 7.581
ATOMIC_POSITIONS crystal
Tb 0.327 0.561 0.904
Pm 0.940 0.368 0.324
S 0.129 0.963 0.108
Cl 0.481 0.138 0.634
```

Summary:
**Formation energy without anion corrections**: -1.6220 eV/atom
**Crystal system**: monoclinic

(2)
First-principles (GGA-PBE) data for an optimized crystal structure of Pm3US6Cl2, as listed in Alexandria. Values from VASP.

```
&SYSTEM
  ibrav = 0, nat = 12, ntyp = 4
/
ATOMIC_SPECIES
Pm 145.00 Pm.upf
U 238.03 U.upf
S 32.06 S.upf
Cl 35.45 Cl.upf
CELL_PARAMETERS angstrom
-5.605 0.010 -2.483
1.865 -6.555 -4.237
-3.508 -0.746 7.209
ATOMIC_POSITIONS crystal
Pm 0.000 0.500 0.000
Pm 0.500 0.500 0.500
Pm 0.500 0.000 0.500
U 0.500 0.000 0.000
S 0.735 0.316 0.151
S 0.265 0.684 0.849
S 0.728 0.837 0.674
S 0.272 0.163 0.326
S 0.265 0.165 0.849
S 0.735 0.835 0.151
Cl 0.230 0.674 0.348
Cl 0.770 0.326 0.652
```

Summary:
**Formation energy without anion corrections**: -1.7729 eV/atom
**Crystal system**: monoclinic

(3)
First-principles (GGA-PBE) data for an optimized crystal structure of Pm3SbCl, as listed in Alexandria. Values from VASP.

```
&SYSTEM
  ibrav = 0, nat = 5, ntyp = 3
/
ATOMIC_SPECIES
Sb 121.76 Sb.upf
Cl 35.45 Cl.upf
Pm 145.00 Pm.upf
CELL_PARAMETERS angstrom
5.264 0.000 0.000
0.000 5.264 0.000
0.000 0.000 5.264
ATOMIC_POSITIONS crystal
Sb 0.500 0.500 0.500
Cl 0.000 0.000 0.000
Pm 0.000 0.500 0.000
Pm 0.000 0.000 0.500
Pm 0.500 0.000 0.000
```

Summary:
**Formation energy without anion corrections**: -0.6550 eV/atom
**Crystal system**: cubic

(4)
First-principles (GGA-PBE) data for an optimized crystal structure of Pm3SbCl3, as listed in Alexandria. Values from VASP.

```
&SYSTEM
  ibrav = 0, nat = 14, ntyp = 3
/
ATOMIC_SPECIES
Pm 145.00 Pm.upf
Sb 121.76 Sb.upf
Cl 35.45 Cl.upf
CELL_PARAMETERS angstrom
7.242 0.000 0.000
3.621 6.272 0.000
3.621 2.091 10.213
ATOMIC_POSITIONS crystal
Pm 0.271 0.611 0.175
Pm 0.942 0.271 0.175
Pm 0.611 0.942 0.175
Pm 0.389 0.058 0.825
Pm 0.058 0.729 0.825
Pm 0.729 0.389 0.825
Sb 0.333 0.333 0.000
Sb 0.667 0.667 0.000
Cl 0.446 0.775 0.668
Cl 0.775 0.111 0.668
Cl 0.111 0.446 0.668
Cl 0.889 0.554 0.332
Cl 0.225 0.889 0.332
Cl 0.554 0.225 0.332
```

Summary:
**Formation energy without anion corrections**: -1.5620 eV/atom
**Crystal system**: trigonal

(5)
First-principles (GGA-PBE) data for an optimized crystal structure of Pm2SbCl, as listed in Alexandria. Values from VASP.

```
&SYSTEM
  ibrav = 0, nat = 4, ntyp = 3
/
ATOMIC_SPECIES
Sb 121.76 Sb.upf
Cl 35.45 Cl.upf
Pm 145.00 Pm.upf
CELL_PARAMETERS angstrom
5.312 0.000 0.000
2.656 4.600 0.000
2.656 1.533 4.337
ATOMIC_POSITIONS crystal
Sb 0.500 0.500 0.500
Cl 0.000 0.000 0.000
Pm 0.250 0.250 0.250
Pm 0.750 0.750 0.750
```

Summary:
**Formation energy without anion corrections**: -1.1947 eV/atom
**Crystal system**: cubic

(6)
First-principles (GGA-PBE) data for an optimized crystal structure of Pm5Sb4Cl, as listed in Alexandria. Values from VASP.

```
&SYSTEM
  ibrav = 0, nat = 10, ntyp = 3
/
ATOMIC_SPECIES
Pm 145.00 Pm.upf
Sb 121.76 Sb.upf
Cl 35.45 Cl.upf
CELL_PARAMETERS angstrom
-2.951 -1.563 -2.977
1.153 -5.856 1.932
-7.149 4.603 8.032
ATOMIC_POSITIONS crystal
Pm 0.603 0.103 0.206
Pm 0.800 0.300 0.600
Pm 0.200 0.700 0.400
Pm 0.000 0.500 0.000
Pm 0.397 0.897 0.794
Sb 0.402 0.402 0.803
Sb 0.802 0.802 0.603
Sb 0.198 0.198 0.397
Sb 0.598 0.598 0.197
Cl 0.000 0.000 0.000
```

Summary:
**Formation energy without anion corrections**: -1.2355 eV/atom
**Crystal system**: orthorhombic

(7)
First-principles (GGA-PBE) data for an optimized crystal structure of Pm2SbCl, as listed in Alexandria. Values from VASP.

```
&SYSTEM
  ibrav = 0, nat = 4, ntyp = 3
/
ATOMIC_SPECIES
Sb 121.76 Sb.upf
Cl 35.45 Cl.upf
Pm 145.00 Pm.upf
CELL_PARAMETERS angstrom
-3.102 1.084 1.940
-2.824 -0.104 -4.458
-1.214 -5.059 0.887
ATOMIC_POSITIONS crystal
Sb 0.500 0.000 0.000
Cl 0.500 0.500 0.500
Pm 0.000 0.000 0.500
Pm 0.000 0.500 0.000
```

Summary:
**Formation energy without anion corrections**: -1.0969 eV/atom
**Crystal system**: tetragonal

(8)
First-principles (GGA-PBE) data for an optimized crystal structure of Pm2SbCl, as listed in Alexandria. Values from VASP.

```
&SYSTEM
  ibrav = 0, nat = 8, ntyp = 3
/
ATOMIC_SPECIES
Pm 145.00 Pm.upf
Sb 121.76 Sb.upf
Cl 35.45 Cl.upf
CELL_PARAMETERS angstrom
4.322 -0.002 0.003
-0.002 7.476 1.625
0.004 0.823 8.030
ATOMIC_POSITIONS crystal
Pm 0.099 0.803 0.952
Pm 0.100 0.607 0.504
Pm 0.465 0.303 0.952
Pm 0.466 0.107 0.504
Sb 0.974 0.205 0.729
Sb 0.591 0.705 0.728
Cl 0.306 0.950 0.227
Cl 0.255 0.449 0.227
```

Summary:
**Formation energy without anion corrections**: -1.1779 eV/atom
**Crystal system**: triclinic

(9)
First-principles (GGA-PBE) data for an optimized crystal structure of Pm2SbCl, as listed in Alexandria. Values from VASP.

```
&SYSTEM
  ibrav = 0, nat = 4, ntyp = 3
/
ATOMIC_SPECIES
Pm 145.00 Pm.upf
Sb 121.76 Sb.upf
Cl 35.45 Cl.upf
CELL_PARAMETERS angstrom
-3.212 -0.916 -2.628
-0.570 -3.989 -1.350
-5.725 -3.005 4.608
ATOMIC_POSITIONS crystal
Pm 0.079 0.079 0.762
Pm 0.255 0.255 0.236
Sb 0.668 0.668 0.996
Cl 0.498 0.498 0.506
```

Summary:
**Formation energy without anion corrections**: -1.1950 eV/atom
**Crystal system**: trigonal

(10)
First-principles (GGA-PBE) data for an optimized crystal structure of Pm2SbCl3, as listed in Alexandria. Values from VASP.

```
&SYSTEM
  ibrav = 0, nat = 12, ntyp = 3
/
ATOMIC_SPECIES
Pm 145.00 Pm.upf
Sb 121.76 Sb.upf
Cl 35.45 Cl.upf
CELL_PARAMETERS angstrom
-4.147 0.487 -1.149
1.997 -7.752 -2.331
-3.069 -0.195 10.994
ATOMIC_POSITIONS crystal
Pm 0.480 0.961 0.813
Pm 0.520 0.039 0.187
Pm 0.764 0.528 0.161
Pm 0.236 0.472 0.839
Sb 0.884 0.768 0.978
Sb 0.116 0.232 0.022
Cl 0.305 0.611 0.659
Cl 0.966 0.932 0.662
Cl 0.633 0.266 0.723
Cl 0.367 0.734 0.277
Cl 0.034 0.068 0.338
Cl 0.695 0.389 0.341
```

Summary:
**Formation energy without anion corrections**: -1.8116 eV/atom
**Crystal system**: monoclinic

(11)
First-principles (GGA-PBE) data for an optimized crystal structure of Pm2SbCl, as listed in Alexandria. Values from VASP.

```
&SYSTEM
  ibrav = 0, nat = 4, ntyp = 3
/
ATOMIC_SPECIES
Sb 121.76 Sb.upf
Cl 35.45 Cl.upf
Pm 145.00 Pm.upf
CELL_PARAMETERS angstrom
-4.029 2.170 -0.975
-3.807 -0.866 2.578
-0.501 6.699 5.755
ATOMIC_POSITIONS crystal
Sb 0.500 0.500 0.500
Cl 0.000 0.000 0.000
Pm 0.109 0.109 0.674
Pm 0.891 0.891 0.326
```

Summary:
**Formation energy without anion corrections**: -1.1293 eV/atom
**Crystal system**: trigonal

(12)
First-principles (GGA-PBE) data for an optimized crystal structure of PmSb2Cl8, as listed in Alexandria. Values from VASP.

```
&SYSTEM
  ibrav = 0, nat = 11, ntyp = 3
/
ATOMIC_SPECIES
Pm 145.00 Pm.upf
Sb 121.76 Sb.upf
Cl 35.45 Cl.upf
CELL_PARAMETERS angstrom
-6.866 3.149 1.350
-4.764 -2.373 -6.062
-4.929 -6.117 1.835
ATOMIC_POSITIONS crystal
Pm 0.000 0.000 0.000
Sb 0.580 0.858 0.858
Sb 0.420 0.142 0.142
Cl 0.206 0.270 0.865
Cl 0.794 0.135 0.730
Cl 0.277 0.806 0.806
Cl 0.723 0.194 0.194
Cl 0.206 0.865 0.270
Cl 0.794 0.730 0.135
Cl 0.775 0.684 0.684
Cl 0.225 0.316 0.316
```

Summary:
**Formation energy without anion corrections**: -1.1634 eV/atom
**Crystal system**: monoclinic

(13)
First-principles (GGA-PBE) data for an optimized crystal structure of Pm4Sb3Cl, as listed in Alexandria. Values from VASP.

```
&SYSTEM
  ibrav = 0, nat = 8, ntyp = 3
/
ATOMIC_SPECIES
Sb 121.76 Sb.upf
Cl 35.45 Cl.upf
Pm 145.00 Pm.upf
CELL_PARAMETERS angstrom
-3.485 4.811 -1.943
3.179 0.130 -5.380
-3.964 -6.474 1.133
ATOMIC_POSITIONS crystal
Sb 0.500 0.500 0.000
Sb 0.750 0.250 0.500
Sb 0.250 0.750 0.500
Cl 0.000 0.000 0.000
Pm 0.000 0.500 0.000
Pm 0.500 0.000 0.000
Pm 0.256 0.256 0.512
Pm 0.744 0.744 0.488
```

Summary:
**Formation energy without anion corrections**: -1.2490 eV/atom
**Crystal system**: tetragonal

(14)
First-principles (GGA-PBE) data for an optimized crystal structure of Pm3ScCl, as listed in Alexandria. Values from VASP.

```
&SYSTEM
  ibrav = 0, nat = 5, ntyp = 3
/
ATOMIC_SPECIES
Sc 44.96 Sc.upf
Cl 35.45 Cl.upf
Pm 145.00 Pm.upf
CELL_PARAMETERS angstrom
-3.321 3.848 -1.711
1.579 -0.883 -5.049
-3.905 -3.630 -0.586
ATOMIC_POSITIONS crystal
Sc 0.500 0.500 0.500
Cl 0.000 0.000 0.000
Pm 0.000 0.500 0.000
Pm 0.000 0.000 0.500
Pm 0.500 0.000 0.000
```

Summary:
**Formation energy without anion corrections**: -0.4216 eV/atom
**Crystal system**: cubic

(15)
First-principles (GGA-PBE) data for an optimized crystal structure of PmScCl6, as listed in Alexandria. Values from VASP.

```
&SYSTEM
  ibrav = 0, nat = 8, ntyp = 3
/
ATOMIC_SPECIES
Pm 145.00 Pm.upf
Sc 44.96 Sc.upf
Cl 35.45 Cl.upf
CELL_PARAMETERS angstrom
-2.273 -1.100 6.141
4.203 -0.027 5.141
-0.223 5.537 4.499
ATOMIC_POSITIONS crystal
Pm 0.500 0.500 0.500
Sc 0.000 0.000 0.000
Cl 0.091 0.384 0.761
Cl 0.764 0.091 0.761
Cl 0.616 0.235 0.239
Cl 0.236 0.909 0.239
Cl 0.909 0.616 0.239
Cl 0.384 0.765 0.761
```

Summary:
**Formation energy without anion corrections**: -2.1439 eV/atom
**Crystal system**: trigonal

(16)
First-principles (GGA-PBE) data for an optimized crystal structure of PmSc2Cl6, as listed in Alexandria. Values from VASP.

```
&SYSTEM
  ibrav = 0, nat = 9, ntyp = 3
/
ATOMIC_SPECIES
Pm 145.00 Pm.upf
Sc 44.96 Sc.upf
Cl 35.45 Cl.upf
CELL_PARAMETERS angstrom
-4.558 1.720 -1.229
-1.419 -7.491 5.046
0.642 3.988 3.197
ATOMIC_POSITIONS crystal
Pm 0.000 0.000 0.500
Sc 0.751 0.503 0.793
Sc 0.249 0.497 0.207
Cl 0.906 0.812 0.910
Cl 0.749 0.498 0.279
Cl 0.251 0.502 0.721
Cl 0.595 0.190 0.596
Cl 0.405 0.810 0.404
Cl 0.094 0.188 0.090
```

Summary:
**Formation energy without anion corrections**: -1.7647 eV/atom
**Crystal system**: monoclinic

(17)
First-principles (GGA-PBE) data for an optimized crystal structure of PmScCl6, as listed in Alexandria. Values from VASP.

```
&SYSTEM
  ibrav = 0, nat = 8, ntyp = 3
/
ATOMIC_SPECIES
Pm 145.00 Pm.upf
Sc 44.96 Sc.upf
Cl 35.45 Cl.upf
CELL_PARAMETERS angstrom
-5.871 -2.705 0.897
0.681 -4.235 4.935
-1.124 2.417 6.561
ATOMIC_POSITIONS crystal
Pm 0.500 0.500 0.000
Sc 0.000 0.000 0.000
Cl 0.769 0.368 0.722
Cl 0.769 0.091 0.278
Cl 0.231 0.909 0.722
Cl 0.231 0.632 0.278
Cl 0.761 0.759 0.000
Cl 0.239 0.241 0.000
```

Summary:
**Formation energy without anion corrections**: -2.1534 eV/atom
**Crystal system**: monoclinic

(18)
First-principles (GGA-PBE) data for an optimized crystal structure of PmScCl, as listed in Alexandria. Values from VASP.

```
&SYSTEM
  ibrav = 0, nat = 3, ntyp = 3
/
ATOMIC_SPECIES
Sc 44.96 Sc.upf
Cl 35.45 Cl.upf
Pm 145.00 Pm.upf
CELL_PARAMETERS angstrom
6.943 0.000 0.000
0.000 3.555 0.000
0.000 -1.777 3.078
ATOMIC_POSITIONS crystal
Sc 0.299 0.333 0.667
Cl 0.024 0.000 0.000
Pm 0.677 0.667 0.333
```

Summary:
**Formation energy without anion corrections**: -0.8572 eV/atom
**Crystal system**: trigonal

(19)
First-principles (GGA-PBE) data for an optimized crystal structure of PmScSe2Cl, as listed in Alexandria. Values from VASP.

```
&SYSTEM
  ibrav = 0, nat = 10, ntyp = 4
/
ATOMIC_SPECIES
Pm 145.00 Pm.upf
Sc 44.96 Sc.upf
Se 78.96 Se.upf
Cl 35.45 Cl.upf
CELL_PARAMETERS angstrom
4.103 0.000 0.000
0.000 4.103 0.000
0.000 0.000 13.686
ATOMIC_POSITIONS crystal
Pm 0.500 0.000 0.650
Pm 0.000 0.500 0.350
Sc 0.500 0.000 0.087
Sc 0.000 0.500 0.913
Se 0.000 0.500 0.713
Se 0.000 0.500 0.110
Se 0.500 0.000 0.890
Se 0.500 0.000 0.287
Cl 0.000 0.000 0.500
Cl 0.500 0.500 0.500
```

Summary:
**Formation energy without anion corrections**: -1.7734 eV/atom
**Crystal system**: tetragonal

(20)
First-principles (GGA-PBE) data for an optimized crystal structure of Pm5Se4Cl, as listed in Alexandria. Values from VASP.

```
&SYSTEM
  ibrav = 0, nat = 10, ntyp = 3
/
ATOMIC_SPECIES
Pm 145.00 Pm.upf
Se 78.96 Se.upf
Cl 35.45 Cl.upf
CELL_PARAMETERS angstrom
-2.575 2.743 1.903
-3.266 1.634 -2.105
-11.548 -11.116 5.066
ATOMIC_POSITIONS crystal
Pm 0.402 0.402 0.795
Pm 0.000 0.000 0.000
Pm 0.598 0.598 0.205
Pm 0.801 0.801 0.598
Pm 0.199 0.199 0.402
Se 0.898 0.898 0.306
Se 0.299 0.299 0.102
Se 0.701 0.701 0.898
Se 0.102 0.102 0.694
Cl 0.500 0.500 0.500
```

Summary:
**Formation energy without anion corrections**: -1.7196 eV/atom
**Crystal system**: trigonal